# YbV4O8

An optimized crystal structure of YbV4O8 (GGA+U, the Alexandria database).

Cell and atoms, written as POSCAR:
```
YbV4O8
1.0
8.3768 -0.0726 0.0589
0.9807 6.4099 0.7158
3.5228 2.0115 6.6422
O V Yb
16 8 2
Direct
0.3972 0.2602 0.0263 O
0.2664 0.5891 0.2119 O
0.8207 0.0133 0.0375 O
0.7336 0.4109 0.7881 O
0.3247 0.4690 0.5993 O
0.1633 0.1174 0.5188 O
0.5970 0.2778 0.2574 O
0.9868 0.3530 0.2458 O
0.8367 0.8826 0.4812 O
0.5613 0.1234 0.6997 O
0.6753 0.5310 0.4007 O
0.6028 0.7398 0.9737 O
0.4030 0.7222 0.7426 O
0.1793 0.9867 0.9625 O
0.0132 0.6470 0.7542 O
0.4387 0.8766 0.3003 O
0.3936 0.8727 0.9121 V
0.6064 0.1273 0.0879 V
0.7427 0.2042 0.4108 V
0.2573 0.7958 0.5892 V
0.5157 0.4374 0.7043 V
0.2064 0.3058 0.2484 V
0.7936 0.6942 0.7516 V
0.4843 0.5626 0.2957 V
0.9416 0.7335 0.2308 Yb
0.0584 0.2665 0.7692 Yb
```

Calculated values
Its distance to the lowest polymorph of the same formula is 0.048 eV per atom. Its total DFT energy (no corrections) is -7.599 eV per atom. As for the space group: P-1 (2).